## MnAl2Hg (PBE-GGA)

Data for a relaxed MnAl2Hg crystal.

## Properties
ΔH_f (0 K) in eV per atom: 0.092
Density in g/cm³: 8.138
Total magnetization in μB/atom: 0.47
Energy in eV/atom: -4.147

```
data_MnAl2Hg
_cell_length_a 3.8609
_cell_length_b 3.8609
_cell_length_c 8.4729
_cell_angle_alpha 90.00
_cell_angle_beta 90.00
_cell_angle_gamma 90.00
_space_group_name_H-M_alt 'I -4 m 2'
_space_group_IT_number 119
_space_group_name_Hall 'I -4 -2'
loop_
_atom_site_label
_atom_site_type_symbol
_atom_site_fract_x
_atom_site_fract_y
_atom_site_fract_z
_atom_site_occupancy
Mn1 Mn 0.0000 0.0000 0.0000 1
Al1 Al 0.0000 0.0000 0.5000 1
Al2 Al 0.0000 0.5000 0.2500 1
Hg1 Hg 0.0000 0.5000 0.7500 1
```